No. 1
{
  "formula": "CaTl2Rh",
  "functional": "PBE",
  "state": "optimized geometry",
  "lattice": [[3.519, 0.000, 0.000], [0.000, 2.246, 6.590], [0.000, -2.246, 6.590]],
  "species": ["Ca", "Tl", "Tl", "Rh"],
  "frac_coords": [[0.000, 0.000, 0.000], [0.000, 0.293, 0.293], [0.500, 0.664, 0.664], [0.500, 0.456, 0.456]],
  "formation_enthalpy_0k_ev_per_fu": -0.66,
  "magnetic_moment_mub_per_cell": 0.00
}



No. 2
{
  "formula": "CaTl2Rh",
  "functional": "PBE",
  "state": "optimized geometry",
  "lattice": [[-2.204, 2.204, 10.469], [2.204, -2.204, 10.469], [2.204, 2.204, -10.469]],
  "species": ["Ca", "Ca", "Tl", "Tl", "Tl", "Tl", "Rh", "Rh"],
  "frac_coords": [[0.000, 0.000, 0.000], [0.750, 0.250, 0.500], [0.151, 0.625, 0.026], [0.375, 0.401, 0.526], [0.599, 0.125, 0.974], [0.875, 0.849, 0.474], [0.250, 0.750, 0.500], [0.500, 0.500, 0.000]],
  "formation_enthalpy_0k_ev_per_fu": 0.21,
  "magnetic_moment_mub_per_cell": 0.00
}



No. 3
{
  "formula": "Ca4TlRh",
  "functional": "PBE",
  "state": "optimized geometry",
  "lattice": [[0.000, 4.402, 4.402], [4.402, 0.000, 4.402], [4.402, 4.402, 0.000]],
  "species": ["Ca", "Ca", "Ca", "Ca", "Tl", "Rh"],
  "frac_coords": [[0.124, 0.124, 0.124], [0.124, 0.124, 0.628], [0.124, 0.628, 0.124], [0.628, 0.124, 0.124], [0.500, 0.500, 0.500], [0.750, 0.750, 0.750]],
  "formation_enthalpy_0k_ev_per_fu": 2.90,
  "magnetic_moment_mub_per_cell": 0.16,
  "e_above_lowest_polymorph_ev_per_atom": 0.865
}



No. 4
{
  "formula": "Ca5Tl2Rh",
  "functional": "PBE",
  "state": "optimized geometry",
  "lattice": [[7.739, 0.000, 0.000], [0.000, 12.704, 0.000], [0.000, 0.000, 4.913]],
  "species": ["Ca", "Ca", "Ca", "Ca", "Ca", "Ca", "Ca", "Ca", "Ca", "Ca", "Tl", "Tl", "Tl", "Tl", "Rh", "Rh"],
  "frac_coords": [[0.000, 0.000, 0.000], [0.138, 0.299, 0.000], [0.176, 0.575, 0.500], [0.324, 0.075, 0.500], [0.362, 0.799, 0.000], [0.500, 0.500, 0.000], [0.638, 0.201, 0.000], [0.676, 0.925, 0.500], [0.824, 0.425, 0.500], [0.862, 0.701, 0.000], [0.080, 0.834, 0.500], [0.420, 0.334, 0.500], [0.580, 0.666, 0.500], [0.920, 0.166, 0.500], [0.000, 0.500, 0.000], [0.500, 0.000, 0.000]],
  "formation_enthalpy_0k_ev_per_fu": -2.72,
  "magnetic_moment_mub_per_cell": 0.00
}



No. 5
{
  "formula": "CaTl2Rh",
  "functional": "PBE",
  "state": "optimized geometry",
  "lattice": [[3.444, 0.000, 0.000], [0.000, 3.577, 0.000], [0.000, 0.000, 7.857]],
  "species": ["Ca", "Tl", "Tl", "Rh"],
  "frac_coords": [[0.000, 0.000, 0.000], [0.000, 0.000, 0.406], [0.500, 0.500, 0.691], [0.500, 0.500, 0.220]],
  "formation_enthalpy_0k_ev_per_fu": -0.52,
  "magnetic_moment_mub_per_cell": 0.00
}



No. 6
{
  "formula": "CaTl2Rh2",
  "functional": "PBE",
  "state": "optimized geometry",
  "lattice": [[7.748, 0.000, 0.000], [0.000, 7.748, 0.000], [0.000, 0.000, 3.413]],
  "species": ["Ca", "Ca", "Tl", "Tl", "Tl", "Tl", "Rh", "Rh", "Rh", "Rh"],
  "frac_coords": [[0.000, 0.000, 0.000], [0.500, 0.500, 0.000], [0.158, 0.342, 0.500], [0.342, 0.842, 0.500], [0.658, 0.158, 0.500], [0.842, 0.658, 0.500], [0.138, 0.638, 0.000], [0.362, 0.138, 0.000], [0.638, 0.862, 0.000], [0.862, 0.362, 0.000]],
  "formation_enthalpy_0k_ev_per_fu": -0.89,
  "magnetic_moment_mub_per_cell": 0.00,
  "e_above_lowest_polymorph_ev_per_atom": 0.000
}



No. 7
{
  "formula": "Ca3Tl2Rh",
  "functional": "PBE",
  "state": "optimized geometry",
  "lattice": [[2.614, -7.781, 0.000], [2.614, 7.781, 0.000], [0.000, 0.000, 7.681]],
  "species": ["Ca", "Ca", "Ca", "Ca", "Ca", "Ca", "Tl", "Tl", "Tl", "Tl", "Rh", "Rh"],
  "frac_coords": [[0.000, 0.000, 0.231], [0.000, 0.000, 0.769], [0.324, 0.676, 0.218], [0.324, 0.676, 0.782], [0.676, 0.324, 0.218], [0.676, 0.324, 0.782], [0.166, 0.834, 0.500], [0.500, 0.500, 0.000], [0.500, 0.500, 0.500], [0.834, 0.166, 0.500], [0.161, 0.839, 0.000], [0.839, 0.161, 0.000]],
  "formation_enthalpy_0k_ev_per_fu": -2.17,
  "magnetic_moment_mub_per_cell": 0.00
}



No. 8
{
  "formula": "Ca3TlRh",
  "functional": "PBE",
  "state": "optimized geometry",
  "lattice": [[5.470, 0.000, 0.000], [0.000, 5.470, 0.000], [0.000, 0.000, 5.470]],
  "species": ["Ca", "Ca", "Ca", "Tl", "Rh"],
  "frac_coords": [[0.000, 0.000, 0.500], [0.000, 0.500, 0.000], [0.500, 0.000, 0.000], [0.500, 0.500, 0.500], [0.000, 0.000, 0.000]],
  "formation_enthalpy_0k_ev_per_fu": -1.30,
  "magnetic_moment_mub_per_cell": 0.00,
  "e_above_lowest_polymorph_ev_per_atom": 0.109
}



No. 9
{
  "formula": "CaTl2Rh",
  "functional": "PBE",
  "state": "optimized geometry",
  "lattice": [[4.461, 0.000, 0.000], [0.000, 4.478, 0.000], [0.000, 0.000, 4.606]],
  "species": ["Ca", "Tl", "Tl", "Rh"],
  "frac_coords": [[0.000, 0.000, 0.000], [0.000, 0.500, 0.500], [0.500, 0.000, 0.500], [0.500, 0.500, 0.000]],
  "formation_enthalpy_0k_ev_per_fu": -0.33,
  "magnetic_moment_mub_per_cell": 0.00
}



No. 10
{
  "formula": "Ca6TlRh2",
  "functional": "PBE",
  "state": "optimized geometry",
  "lattice": [[-4.777, 4.844, 5.537], [4.777, -4.844, 5.537], [4.777, 4.844, -5.537]],
  "species": ["Ca", "Ca", "Ca", "Ca", "Ca", "Ca", "Ca", "Ca", "Ca", "Ca", "Ca", "Ca", "Tl", "Tl", "Rh", "Rh", "Rh", "Rh"],
  "frac_coords": [[0.018, 0.837, 0.181], [0.241, 0.539, 0.298], [0.241, 0.943, 0.702], [0.294, 0.319, 0.614], [0.294, 0.681, 0.975], [0.345, 0.163, 0.181], [0.655, 0.837, 0.819], [0.706, 0.319, 0.025], [0.706, 0.681, 0.386], [0.759, 0.057, 0.298], [0.759, 0.461, 0.702], [0.982, 0.163, 0.819], [0.000, 0.500, 0.500], [0.500, 0.000, 0.500], [0.000, 0.172, 0.172], [0.000, 0.828, 0.828], [0.373, 0.373, 0.000], [0.627, 0.627, 0.000]],
  "formation_enthalpy_0k_ev_per_fu": -3.17,
  "magnetic_moment_mub_per_cell": 0.03
}



No. 11
{
  "formula": "Ca8Tl2Rh",
  "functional": "PBE",
  "state": "optimized geometry",
  "lattice": [[9.285, -2.749, 0.000], [9.285, 2.749, 0.000], [-2.363, 0.000, 6.809]],
  "species": ["Ca", "Ca", "Ca", "Ca", "Ca", "Ca", "Ca", "Ca", "Tl", "Tl", "Rh"],
  "frac_coords": [[0.022, 0.022, 0.293], [0.206, 0.206, 0.788], [0.351, 0.351, 0.551], [0.407, 0.407, 0.086], [0.593, 0.593, 0.914], [0.649, 0.649, 0.449], [0.794, 0.794, 0.212], [0.978, 0.978, 0.707], [0.181, 0.181, 0.208], [0.819, 0.819, 0.792], [0.500, 0.500, 0.500]],
  "formation_enthalpy_0k_ev_per_fu": -3.16,
  "magnetic_moment_mub_per_cell": 0.00
}



No. 12
{
  "formula": "CaTl2Rh",
  "functional": "PBE",
  "state": "optimized geometry",
  "lattice": [[3.450, 0.000, 0.000], [0.000, 4.671, 0.000], [-1.706, 0.000, 5.887]],
  "species": ["Ca", "Tl", "Tl", "Rh"],
  "frac_coords": [[0.000, 0.000, 0.000], [0.355, 0.500, 0.724], [0.645, 0.500, 0.276], [0.500, 0.000, 0.500]],
  "formation_enthalpy_0k_ev_per_fu": -0.43,
  "magnetic_moment_mub_per_cell": 0.00
}



Number 1: D(E_F) 0.484 states/eV per atom, E -14.74 eV for the cell shown. Number 2: D(E_F) 0.742 states/eV per atom, E -27.76 eV for the cell shown. Number 3: D(E_F) 0.723 states/eV per atom, E -14.82 eV for the cell shown. Number 4: D(E_F) 0.622 states/eV per atom, E -49.62 eV for the cell shown. Number 5: D(E_F) 0.492 states/eV per atom, E -14.61 eV for the cell shown. Number 6: D(E_F) 0.576 states/eV per atom, E -44.65 eV for the cell shown. Number 7: D(E_F) 0.639 states/eV per atom, E -40.53 eV for the cell shown. Number 8: D(E_F) 0.793 states/eV per atom, E -17.02 eV for the cell shown. Number 9: D(E_F) 0.687 states/eV per atom, E -14.41 eV for the cell shown. Number 10: D(E_F) 0.868 states/eV per atom, E -64.49 eV for the cell shown. Number 11: D(E_F) 0.870 states/eV per atom, E -31.26 eV for the cell shown. Number 12: D(E_F) 0.562 states/eV per atom, E -14.52 eV for the cell shown.